# PBE-GGA Sr2ReSb, optimized geometry
data_Sr2ReSb
_cell_length_a 3.592
_cell_length_b 3.592
_cell_length_c 9.326
_cell_angle_alpha 90.00
_cell_angle_beta 90.00
_cell_angle_gamma 90.00
_symmetry_space_group_name_H-M 'P 4 m m'
_symmetry_Int_Tables_number 99
_symmetry_space_group_name_Hall 'P 4 -2'
loop_
_atom_site_label
_atom_site_type_symbol
_atom_site_fract_x
_atom_site_fract_y
_atom_site_fract_z
Sr1 Sr 0.000 0.000 0.000
Sr2 Sr 0.500 0.500 0.400
Re1 Re 0.000 0.000 0.637
Sb1 Sb 0.500 0.500 0.757
# * formation energy from raw total energies: 0.8 eV per formula unit
# * electronic total energy: -19.1 eV/cell